[1]
An optimized crystal structure of Rb2NaCdBr5, computed with PBE-GGA.

For the magnetization, the calculation gives 0.00 Bohr magnetons per cell. For the uncorrected energy, the calculation gives -25.04 eV per formula unit. For the uncorrected formation energy, the calculation gives -1.39 eV per atom. The volume is 36.28 A^3/atom. The calculation puts the density of states at the Fermi level at 0.000 states/eV/atom.

The space group is Cmc2_1 (No. 36) and the conventional cell measures 4.4302, 19.4159 and 15.1828 Å, with angles of 90.00, 90.00 and 90.00 degrees. The distinct sites, in fractional coordinates, are Rb at (0.0000, 0.0899, 0.0000), Rb at (0.0000, 0.1370, 0.6393), Na at (0.0000, 0.4424, 0.7899), Cd at (0.0000, 0.2226, 0.3684), Br at (0.0000, 0.0801, 0.4019), Br at (0.0000, 0.2663, 0.9946), Br at (0.0000, 0.2969, 0.7465), Br at (0.0000, 0.3613, 0.3339) and Br at (0.0000, 0.4992, 0.1235).

[2]
An optimized crystal structure of PuBeH, computed with PBE-GGA.

For the magnetization, the calculation gives 0.13 Bohr magnetons per cell. For the uncorrected energy, the calculation gives -21.21 eV per formula unit. The volume is 12.28 A^3/atom. The calculation puts the density of states at the Fermi level at 1.052 states/eV/atom.

The space group is Cm (No. 8) and the conventional cell measures 9.2827, 3.6089 and 5.1020 Å, with angles of 90.00, 120.45 and 90.00 degrees. The distinct sites, in fractional coordinates, are Pu at (0.0000, 0.0000, 0.0000), Pu at (0.0522, 0.5000, 0.7223), Be at (0.2875, 0.5000, 0.3359), Be at (0.3089, 0.0000, 0.1149), H at (0.2512, 0.5000, 0.5912) and H at (0.4910, 0.0000, 0.2365).

[3]
An optimized crystal structure of AgHPdRh2, computed with PBE-GGA.

For the magnetization, the calculation gives 2.95 Bohr magnetons per cell. For the uncorrected energy, the calculation gives -17.10 eV per formula unit. The volume is 23.53 A^3/atom. As for the relative energy among the computed polymorphs: 8.367 eV/f.u. The calculation puts the density of states at the Fermi level at 1.524 states/eV/atom.

The space group is P4/mmm (No. 123) and the conventional cell measures 4.7997, 4.7997 and 5.1065 Å, with angles of 90.00, 90.00 and 90.00 degrees. The distinct sites, in fractional coordinates, are Ag at (0.0000, 0.0000, 0.0000), H at (0.5000, 0.5000, 0.0000), Pd at (0.0000, 0.0000, 0.5000) and Rh at (0.0000, 0.5000, 0.5000).

[4]
An optimized crystal structure of CsPmIn2, computed with PBE-GGA.

For the magnetization, the calculation gives 0.00 Bohr magnetons per cell. For the uncorrected energy, the calculation gives -11.93 eV per formula unit. The volume is 36.86 A^3/atom. The calculation puts the density of states at the Fermi level at 0.601 states/eV/atom.

The space group is P4/mmm (No. 123) and the conventional cell measures 4.0091, 4.0091 and 9.1739 Å, with angles of 90.00, 90.00 and 90.00 degrees. The distinct sites, in fractional coordinates, are Cs at (0.0000, 0.0000, 0.0000), Pm at (0.0000, 0.0000, 0.5000) and In at (0.5000, 0.5000, 0.3157).